Density functional theory data (GGA-PBEsol) for an optimized crystal structure of NbTlIn2Pb.

Values from the calculation:
SG = P4/mmm (123)
density of states at the Fermi level = 6.53 states/eV per cell
formation energy = 1.142 eV per atom
size of the total moment = 2.45 Bohr magnetons per cell
DFT total energy = -17.7 eV/f.u.

The structure in POSCAR format:
```
NbTlIn2Pb
1.0
-0.631 0.027 -5.359
0.462 -5.391 -0.082
-5.355 -0.468 0.628
Tl Pb Nb In
1 1 1 2
Direct
0.000 0.000 0.000 Tl
0.500 0.500 0.500 Pb
0.500 0.000 0.000 Nb
0.000 0.000 0.500 In
0.000 0.500 0.000 In
```